1.
12
Lattice="-3.413 -1.871 -0.875 1.376 -5.638 6.689 -3.212 8.473 3.507" Properties=species:S:1:pos:R:3 comment="Pr6GeC2Br3 (PBE, relaxed)" dos_ef_per_ev_fu=5.228 vol_a3_per_cell=315.81 raw_formation_energy_ev_per_atom=-0.94 density_g_cm3=6.2 space_group="C2/m, No. 12" pbc="T T T"
Pr -2.100 0.190 7.786
Pr -2.750 -1.281 4.373
Pr -3.149 0.774 1.535
Pr 0.080 -1.013 1.854
Pr -5.329 1.977 7.468
Pr -2.499 2.245 4.948
Ge -1.706 -0.935 -0.437
C -4.035 0.297 6.011
C -1.214 0.667 3.311
Br -1.018 -3.755 2.907
Br -4.783 3.182 2.760
Br -0.466 -2.218 6.562

2.
8
Lattice="4.075 0.000 0.000 0.000 7.180 0.132 0.000 -2.522 7.447" Properties=species:S:1:pos:R:3 comment="Pr4GeCBr2 (PBE, relaxed)" dos_ef_per_ev_fu=3.675 vol_a3_per_cell=219.28 raw_formation_energy_ev_per_atom=-0.97 density_g_cm3=6.1 space_group="P2/m, No. 10" pbc="T T T"
Pr 2.038 1.399 1.523
Pr 2.038 3.259 6.056
Pr 0.000 0.060 6.072
Pr 0.000 4.598 1.508
Ge 0.000 0.000 0.000
C 2.038 3.590 0.066
Br 2.038 -1.261 3.724
Br 0.000 2.329 3.790

3.
10
Lattice="-5.165 -1.193 -5.250 1.000 -7.361 0.689 -5.816 -4.437 1.429" Properties=species:S:1:pos:R:3 comment="Rb2GeCBr6 (PBE, relaxed)" dos_ef_per_ev_fu=0.002 vol_a3_per_cell=293.08 raw_formation_energy_ev_per_atom=-0.42 density_g_cm3=4.2 space_group="I4/mmm, No. 139" pbc="T T T"
C -2.083 -4.277 -2.280
Ge 0.000 0.000 0.000
Br -3.870 -4.354 -0.504
Br -6.111 -8.638 -2.627
Br -1.087 -2.233 -1.190
Br -3.078 -6.322 -3.370
Br -3.556 -2.803 -3.700
Br -0.609 -5.751 -0.861
Rb -6.532 -4.954 -3.050
Rb -3.449 -8.038 -0.081

4.
5
Lattice="-3.294 -2.936 0.595 0.706 0.099 4.396 -3.177 3.652 0.428" Properties=species:S:1:pos:R:3 comment="GeCSe2Br (PBE, relaxed)" dos_ef_per_ev_fu=2.592 de_polymorph_ev_per_atom=0.0000 vol_a3_per_cell=96.36 raw_formation_energy_ev_per_atom=1.02 density_g_cm3=5.6 space_group="P4/mmm, No. 123" pbc="T T T"
C 0.000 0.000 0.000
Ge -2.883 0.407 2.709
Se 0.353 0.049 2.198
Se -1.647 -1.468 0.298
Br -1.589 1.826 0.214

5.
5
Lattice="5.064 0.000 0.000 0.000 5.064 0.000 0.000 0.000 5.167" Properties=species:S:1:pos:R:3 comment="GeCSe2Br (PBE, relaxed)" dos_ef_per_ev_fu=5.989 de_polymorph_ev_per_atom=0.6473 vol_a3_per_cell=132.50 raw_formation_energy_ev_per_atom=1.66 density_g_cm3=4.0 space_group="P4/mmm, No. 123" pbc="T T T"
C 2.532 2.532 2.583
Ge 0.000 0.000 0.000
Se 0.000 2.532 0.000
Se 2.532 0.000 0.000
Br 0.000 0.000 2.583

6.
5
Lattice="4.759 0.000 0.000 0.000 4.759 0.000 0.000 0.000 4.484" Properties=species:S:1:pos:R:3 comment="GeCSeBr2 (PBE, relaxed)" dos_ef_per_ev_fu=1.004 de_polymorph_ev_per_atom=0.0000 vol_a3_per_cell=101.55 raw_formation_energy_ev_per_atom=1.02 density_g_cm3=5.3 space_group="P4/mmm, No. 123" pbc="T T T"
C 0.000 0.000 0.000
Ge 2.379 2.379 2.242
Se 0.000 0.000 2.242
Br 0.000 2.379 0.000
Br 2.379 0.000 0.000

7.
5
Lattice="5.207 0.000 0.000 0.000 5.207 0.000 0.000 0.000 5.246" Properties=species:S:1:pos:R:3 comment="GeCSeBr2 (PBE, relaxed)" dos_ef_per_ev_fu=5.309 de_polymorph_ev_per_atom=0.4510 vol_a3_per_cell=142.22 raw_formation_energy_ev_per_atom=1.47 density_g_cm3=3.8 space_group="P4/mmm, No. 123" pbc="T T T"
C 2.603 2.603 2.623
Ge 0.000 0.000 0.000
Se 0.000 0.000 2.623
Br 0.000 2.603 0.000
Br 2.603 0.000 0.000

8.
5
Lattice="4.374 0.000 0.000 0.000 5.468 0.000 0.000 0.000 4.374" Properties=species:S:1:pos:R:3 comment="SnGeC2Br (PBE, relaxed)" dos_ef_per_ev_fu=3.739 vol_a3_per_cell=104.62 raw_formation_energy_ev_per_atom=2.67 density_g_cm3=4.7 space_group="P4/mmm, No. 123" pbc="T T T"
C 0.000 0.000 2.187
C 2.187 0.000 0.000
Ge 2.187 2.734 2.187
Sn 0.000 2.734 0.000
Br 0.000 0.000 0.000

9.
30
Lattice="-2.984 -4.455 -3.642 5.113 0.737 -5.090 6.797 -7.504 3.609" Properties=species:S:1:pos:R:3 comment="HgH8C2Br3N (PBE, relaxed)" dos_ef_per_ev_fu=0.000 vol_a3_per_cell=500.38 energy_ev_per_atom=-4.314 density_g_cm3=3.2 space_group="P2_1/m, No. 11" pbc="T T T"
Br 4.296 -3.333 -2.327
Br 4.630 -7.889 -2.796
Br 0.777 -3.800 -4.640
Br 8.149 -7.422 -0.483
Br 0.364 -2.084 -0.633
Br 8.562 -9.138 -4.490
C 4.512 -5.328 -5.831
C 4.415 -5.894 0.708
C 0.688 -6.303 -1.506
C 8.239 -4.919 -3.618
H 2.805 -4.089 -5.948
H 6.122 -7.133 0.825
H 3.421 -4.510 -7.447
H 4.724 -7.877 1.371
H 5.505 -6.712 2.324
H 4.202 -3.345 -6.495
H 4.695 -5.001 -4.800
H 5.049 -4.999 0.675
H 4.231 -6.220 -0.324
H 3.877 -6.223 -5.798
H 1.262 -7.095 -1.007
H 7.665 -4.127 -4.116
H 0.495 -6.625 -2.539
H 7.611 -5.821 -3.585
H 8.431 -4.596 -2.584
H 1.315 -5.401 -1.538
Hg 2.268 -1.827 -2.507
Hg 6.659 -9.395 -2.616
N 3.688 -4.248 -6.477
N 5.239 -6.974 1.354

10.
72
Lattice="8.534 -0.226 0.000 -0.441 9.069 0.000 0.000 0.000 15.055" Properties=species:S:1:pos:R:3 comment="HgH10C3Br3N (PBE, relaxed)" dos_ef_per_ev_fu=0.000 vol_a3_per_cell=1163.72 energy_ev_per_atom=-4.475 density_g_cm3=2.9 space_group="P2_1/c, No. 14" pbc="T T T"
Hg 2.084 6.709 3.348
Hg 6.352 6.596 4.180
Hg 1.741 2.247 10.875
Hg 6.008 2.134 11.707
H 0.741 8.001 7.081
H -0.169 6.627 8.869
H 1.867 0.283 0.697
H 6.754 7.792 0.846
H 7.352 0.842 7.974
H 8.177 6.192 14.760
H 3.479 7.038 9.410
H 2.210 3.116 14.979
H 0.347 1.919 1.883
H 5.606 0.938 8.373
H 3.085 0.955 14.608
H 2.755 1.752 2.512
H 3.910 6.305 7.823
H 5.338 7.092 12.543
H 6.477 3.003 7.604
H 7.746 6.925 13.172
H 7.022 1.639 5.016
H 6.135 0.170 6.831
H 4.614 1.806 5.645
H 7.495 5.164 13.460
H 4.098 6.514 13.713
H 4.183 2.538 7.232
H 8.262 2.217 6.186
H 6.225 8.561 14.358
H 3.228 5.277 9.123
H 0.597 3.679 1.595
H 2.487 7.905 6.682
H 1.071 7.204 10.039
H -0.084 2.651 0.295
H 7.209 3.399 5.345
H 3.995 2.330 1.342
H 0.883 5.444 9.710
H 1.958 8.674 8.224
H 2.942 3.512 2.183
H 5.883 5.727 0.076
H 5.008 7.888 0.447
H 1.339 1.051 14.209
H 1.615 5.840 7.451
H 4.864 3.566 5.932
H 5.150 5.331 12.872
C 7.264 2.393 5.773
C 2.997 2.506 1.755
C 1.750 7.885 7.492
C 0.829 6.450 9.282
C 0.611 2.682 1.142
C 2.076 1.072 15.020
C 6.017 7.772 0.035
C 6.343 0.959 7.563
C 4.878 2.569 6.386
C 7.482 6.161 13.913
C 3.215 6.274 8.669
C 5.096 6.337 13.300
Br 4.251 8.419 3.927
Br 6.224 4.781 2.333
Br 3.842 0.425 11.128
Br 1.957 4.894 5.194
Br 1.553 2.694 8.324
Br 2.273 6.263 0.797
Br 5.820 2.581 14.258
Br 6.540 6.150 6.731
Br 6.136 3.949 9.861
Br -0.016 8.532 3.601
Br 8.109 0.312 11.454
Br 1.869 4.062 12.722
N 6.098 6.445 14.405
N 1.995 2.399 0.650
N 6.262 2.286 6.877
N 1.831 6.558 8.178

11.
12
Lattice="6.355 0.006 -0.005 -3.171 5.507 -0.005 -1.067 -1.847 7.074" Properties=species:S:1:pos:R:3 comment="Ho6HC2Br3 (PBE, relaxed)" dos_ef_per_ev_fu=5.850 vol_a3_per_cell=247.57 energy_ev_per_atom=-5.322 density_g_cm3=8.4 space_group="C2/m, No. 12" pbc="T T T"
Ho 3.224 1.753 5.783
Ho 2.069 3.583 1.289
Ho -1.106 1.913 1.280
Ho -0.092 3.668 5.783
Ho 0.048 0.083 5.774
Ho 2.210 -0.002 1.280
H 0.000 0.000 0.000
C 0.013 3.668 -0.005
C 3.171 1.845 -0.005
Br -2.102 3.658 3.532
Br 4.219 0.008 3.532
Br 1.059 1.833 3.532

12.
5
Lattice="-1.883 -2.948 1.802 4.396 0.229 4.969 -2.269 2.603 1.887" Properties=species:S:1:pos:R:3 comment="KH2CBr (PBE, relaxed)" dos_ef_per_ev_fu=4.074 vol_a3_per_cell=102.79 energy_ev_per_atom=-2.521 density_g_cm3=2.1 space_group="P4/mmm, No. 123" pbc="T T T"
H -1.134 1.301 0.944
H -0.942 -1.474 0.901
K 2.198 0.114 2.484
C 0.000 0.000 0.000
Br 0.122 -0.058 4.329

Number 1: M_tot 0.00 Bohr magnetons per cell. Number 2: M_tot 0.00 Bohr magnetons per cell. Number 3: M_tot 0.00 Bohr magnetons per cell. Number 4: M_tot 0.00 Bohr magnetons per cell. Number 5: M_tot 0.70 Bohr magnetons per cell. Number 6: M_tot 0.00 Bohr magnetons per cell. Number 7: M_tot 0.66 Bohr magnetons per cell. Number 8: M_tot 0.79 Bohr magnetons per cell. Number 9: M_tot 0.00 Bohr magnetons per cell. Number 10: M_tot 0.00 Bohr magnetons per cell. Number 11: M_tot 0.00 Bohr magnetons per cell. Number 12: M_tot 0.96 Bohr magnetons per cell.